{
  "formula": "Sm2CoTc3",
  "functional": "PBE-GGA",
  "state": "relaxed",
  "lattice": [[2.624, 1.515, 4.643], [-2.624, 1.515, 4.643], [0.000, -3.030, 4.643]],
  "species": ["Sm", "Sm", "Co", "Tc", "Tc", "Tc"],
  "frac_coords": [[0.125, 0.125, 0.125], [0.875, 0.875, 0.875], [0.500, 0.500, 0.500], [0.000, 0.500, 0.500], [0.500, 0.000, 0.500], [0.500, 0.500, 0.000]],
  "ef_ev_per_fu": -0.34,
  "sg": "R-3m",
  "energy_ev_per_cell": -47.98
}

=====

{
  "formula": "Sm8Co2Tc",
  "functional": "PBE-GGA",
  "state": "relaxed",
  "lattice": [[4.098, -6.380, 0.000], [4.098, 6.380, 0.000], [-2.016, 0.000, 5.658]],
  "species": ["Sm", "Sm", "Sm", "Sm", "Sm", "Sm", "Sm", "Sm", "Co", "Co", "Tc"],
  "frac_coords": [[0.000, 0.000, 0.000], [0.021, 0.279, 0.587], [0.144, 0.568, 0.186], [0.279, 0.021, 0.587], [0.440, 0.697, 0.779], [0.568, 0.144, 0.186], [0.697, 0.440, 0.779], [0.723, 0.723, 0.374], [0.060, 0.663, 0.688], [0.663, 0.060, 0.688], [0.366, 0.366, 0.235]],
  "ef_ev_per_fu": 0.42,
  "sg": "Cm",
  "energy_ev_per_cell": -61.91
}

=====

{
  "formula": "SmCo4Tc",
  "functional": "PBE-GGA",
  "state": "relaxed",
  "lattice": [[0.000, 3.505, 3.505], [3.505, 0.000, 3.505], [3.505, 3.505, 0.000]],
  "species": ["Sm", "Co", "Co", "Co", "Co", "Tc"],
  "frac_coords": [[0.000, 0.000, 0.000], [0.128, 0.624, 0.624], [0.624, 0.128, 0.624], [0.624, 0.624, 0.128], [0.624, 0.624, 0.624], [0.250, 0.250, 0.250]],
  "ef_ev_per_fu": 0.78,
  "sg": "F-43m",
  "energy_ev_per_cell": -42.73
}